# 1
Below is a geometry-optimized Pm4Si2Ag structure, with properties calculated at the PBE-GGA level.

Cell lengths 7.8637, 7.8638, 7.8641 Å; angles 110.04, 110.03, 108.35 degrees
Positions (direct):
Pm  0.0070  0.2571  0.3975
Pm  0.3904  0.4930  0.2499
Pm  0.8596  0.6096  0.6025
Pm  0.7429  0.1403  0.7498
Pm  0.3904  0.9930  0.2500
Pm  0.2430  0.1405  0.7501
Pm  0.5071  0.7570  0.8975
Pm  0.8596  0.6096  0.1025
Si  0.4948  0.3750  0.6199
Si  0.7552  0.8750  0.3801
Si  0.6250  0.2447  0.1198
Si  0.1250  0.5052  0.8802
Ag  0.2500  0.7500  0.5001
Ag  0.0000  0.0001  0.0000

Summary:
- total moment (μB per atom) = 0.0000
- ρ (g/cm³) = 6.60
- symmetry = I-42d
- E_form (uncorrected) (eV/f.u.) = -3.27
- raw total energy (Ry per atom) = -0.378

# 2
Below is a geometry-optimized BeCd3Ir structure, with properties calculated at the PBE-GGA level.

Cell lengths 5.1825, 5.1825, 5.1825 Å; angles 90.00, 90.00, 90.00 degrees
Positions (direct):
Be  0.5000  0.5000  0.5000
Ir  0.0000  0.0000  0.0000
Cd  0.0000  0.5000  0.0000
Cd  0.0000  0.0000  0.5000
Cd  0.5000  0.0000  0.0000

Summary:
- energy above the lowest structure with this stoichiometry (eV per atom) = 0.099
- total moment (μB per atom) = 0.0000
- ρ (g/cm³) = 6.42
- symmetry = Pm-3m
- DFT formation energy (eV/atom) = 0.883
- raw total energy (Ry per atom) = -0.161

# 3
Below is a geometry-optimized Zn2CdSe structure, with properties calculated at the PBE-GGA level.

Cell lengths 5.3502, 5.3502, 5.3502 Å; angles 140.73, 113.35, 80.18 degrees
Positions (direct):
Cd  0.5036  0.5036  0.0000
Se  0.2243  0.7243  0.5000
Zn  0.0050  0.0050  0.0000
Zn  0.7671  0.2671  0.5000

Summary:
- energy above the lowest structure with this stoichiometry (eV per atom) = 0.154
- total moment (μB per atom) = 0.0000
- ρ (g/cm³) = 6.18
- symmetry = Imm2
- E_form (uncorrected) (eV/f.u.) = 0.23
- raw total energy (Ry per atom) = -0.124

# 4
Below is a geometry-optimized InReRu2 structure, with properties calculated at the PBE-GGA level.

Cell lengths 4.7311, 4.7311, 2.8728 Å; angles 90.00, 90.00, 104.16 degrees
Positions (direct):
In  0.5000  0.0000  0.5000
Re  0.0000  0.5000  0.5000
Ru  0.0000  0.0000  0.0000
Ru  0.5000  0.5000  0.0000

Summary:
- total moment (μB per atom) = 0.0001
- ρ (g/cm³) = 13.40
- symmetry = Cmmm
- DFT formation energy (eV/atom) = 0.317
- raw total energy (Ry per atom) = -0.597

# 5
Below is a geometry-optimized HfNb3Sb structure, with properties calculated at the PBE-GGA level.

Cell lengths 4.9354, 4.9354, 4.9354 Å; angles 90.00, 90.00, 90.00 degrees
Positions (direct):
Sb  0.5000  0.5000  0.5000
Nb  0.0000  0.5000  0.0000
Nb  0.0000  0.0000  0.5000
Nb  0.5000  0.0000  0.0000
Hf  0.0000  0.0000  0.0000

Summary:
- energy above the lowest structure with this stoichiometry (eV per atom) = 0.161
- total moment (μB per atom) = 0.0000
- ρ (g/cm³) = 8.00
- symmetry = Pm-3m
- E_form (uncorrected) (eV/f.u.) = 7.08
- raw total energy (Ry per atom) = -0.547

# 6
Below is a geometry-optimized Rb2TlSnBr8 structure, with properties calculated at the PBE-GGA level.

Cell lengths 7.5570, 6.3023, 9.5722 Å; angles 76.27, 89.92, 90.04 degrees
Last column: magnetic moment on the atom in μB.
Positions (direct):
Rb  0.4999  0.3327  0.8161  0.00
Rb  0.5001  0.6673  0.1839  0.00
Tl  0.0000  0.0000  0.5000  0.00
Sn  0.0000  0.0000  0.0000  0.00
Br  0.9988  0.6705  0.2342  0.00
Br  0.7531  0.8227  0.8669  0.00
Br  0.7519  0.1776  0.1318  0.00
Br  0.0012  0.3295  0.7658  0.00
Br  0.2469  0.1773  0.1331  0.00
Br  0.2481  0.8224  0.8682  0.00
Br  0.4996  0.7577  0.5104  0.08
Br  0.5004  0.2423  0.4896  0.08

Summary:
- total moment (μB per atom) = 0.0172
- ρ (g/cm³) = 4.25
- symmetry = P-1
- E_form (uncorrected) (eV/f.u.) = -11.54
- raw total energy (Ry per atom) = -0.204

# 7
Below is a geometry-optimized CaTb5S6 structure, with properties calculated at the PBE-GGA level.

Cell lengths 6.8264, 6.8049, 6.8218 Å; angles 60.08, 80.45, 70.58 degrees
Positions (direct):
Ca  0.0000  0.0000  0.0000
Tb  0.5000  0.1660  0.6680
Tb  0.0000  0.3327  0.3347
Tb  0.5000  0.5000  0.0000
Tb  0.0000  0.6673  0.6653
Tb  0.5000  0.8340  0.3320
S  0.7487  0.0839  0.3329
S  0.2513  0.5833  0.3329
S  0.2482  0.2500  0.0000
S  0.7518  0.7500  0.0000
S  0.7487  0.4167  0.6671
S  0.2513  0.9161  0.6671

Summary:
- total moment (μB per atom) = 0.0000
- ρ (g/cm³) = 6.58
- symmetry = C2/m
- E_form (uncorrected) (eV/f.u.) = -24.29
- raw total energy (Ry per atom) = -0.455